CaPN2O | GGA-PBEsol | relaxed

Cell: 4.4573 4.4573 4.1683 Å, 90.00 90.00 90.00°
Closest atoms and distances in Å follow each position.
Positions (direct):
Ca (0.0000, 0.0000, 0.0000)  2 O 2.08, 4 N 2.23
P (0.5000, 0.5000, 0.5000)  8 N 3.05, 4 O 3.15
N (0.0000, 0.5000, 0.0000)  2 Ca 2.23
N (0.5000, 0.0000, 0.0000)  2 Ca 2.23
O (0.0000, 0.0000, 0.5000)  2 Ca 2.08

The value obtained for the total energy is -22.11 eV per cell.